(1)
Below is a relaxed Tl5Sb2Pb4 crystal, with properties calculated at the PBE level.

abc: 8.9974 8.9974 11.7634
angles: 85.14 85.14 21.32
Sites, in units of the cell vectors:
Tl 0.6867 0.6867 0.8969
Tl 0.3133 0.3133 0.1031
Tl 0.7791 0.7791 0.3685
Tl 0.5000 0.5000 0.0000
Tl 0.2209 0.2209 0.6315
Sb 0.6430 0.6430 0.1794
Sb 0.3570 0.3570 0.8206
Pb 0.4090 0.4090 0.5421
Pb 0.0262 0.0262 0.7254
Pb 0.5910 0.5910 0.4579
Pb 0.9738 0.9738 0.2746

Properties
For the spin magnetization, the calculation gives 0.000 μB per formula unit. As for the uncorrected formation energy: 0.42 eV per formula unit. The value obtained for the density of states at the Fermi level is 0.434 states/eV/atom.


(2)
Below is a relaxed SrCu2Au crystal, with properties calculated at the PBE level.

abc: 3.4604 3.4621 6.6718
angles: 90.00 90.00 90.00
Sites, in units of the cell vectors:
Au 0.5000 0.5000 0.8001
Cu 0.0000 0.0000 0.0243
Cu 0.5000 0.5000 0.1786
Sr 0.0000 0.0000 0.4970

Properties
For the spin magnetization, the calculation gives 0.000 μB per formula unit. The energy is -3.3618 eV/atom. The value obtained for the density of states at the Fermi level is 0.157 states/eV/atom.


(3)
Below is a relaxed CdW3 crystal, with properties calculated at the PBE level.

abc: 5.0057 5.0057 11.4971
angles: 149.07 149.07 31.36
Sites, in units of the cell vectors:
W 0.0062 0.0062 0.2540
W 0.0000 0.0000 0.5000
W 0.9938 0.9938 0.7460
Cd 0.0000 0.0000 0.0000

Properties
For the spin magnetization, the calculation gives 0.000 μB per formula unit. The energy is -9.3535 eV/atom. The value obtained for the density of states at the Fermi level is 0.380 states/eV/atom.


(4)
Below is a relaxed ZnCo2NiSn crystal, with properties calculated at the PBE level.

abc: 4.6905 4.8381 4.6905
angles: 90.00 90.00 90.00
Sites, in units of the cell vectors:
Ni 0.5000 0.5000 0.5000
Zn 0.0000 0.5000 0.0000
Co 0.0000 0.0000 0.5000
Co 0.5000 0.0000 0.0000
Sn 0.0000 0.0000 0.0000

Properties
For the spin magnetization, the calculation gives 3.743 μB per formula unit. The energy is -3.5412 eV/atom. The value obtained for the density of states at the Fermi level is 1.600 states/eV/atom.


(5)
Below is a relaxed Nb2NiPtBr crystal, with properties calculated at the PBE level.

abc: 4.6944 4.4725 4.6944
angles: 90.00 90.00 90.00
Sites, in units of the cell vectors:
Ni 0.0000 0.0000 0.0000
Nb 0.0000 0.0000 0.5000
Nb 0.5000 0.0000 0.0000
Br 0.0000 0.5000 0.0000
Pt 0.5000 0.5000 0.5000

Properties
For the spin magnetization, the calculation gives 0.000 μB per formula unit. As for the uncorrected formation energy: 5.06 eV per formula unit. The value obtained for the density of states at the Fermi level is 1.103 states/eV/atom.


(6)
Below is a relaxed K3TeH crystal, with properties calculated at the PBE level.

abc: 6.3148 7.5514 8.0313
angles: 90.00 118.16 90.00
Sites, in units of the cell vectors:
H 0.9186 0.2500 0.4454
H 0.0814 0.7500 0.5546
K 0.8733 0.9741 0.2316
K 0.1267 0.0259 0.7684
K 0.8733 0.5259 0.2316
K 0.1267 0.4741 0.7684
K 0.4474 0.2500 0.3476
K 0.5526 0.7500 0.6524
Te 0.6633 0.2500 0.8315
Te 0.3367 0.7500 0.1685

Properties
For the spin magnetization, the calculation gives 0.000 μB per formula unit. The energy is -2.5988 eV/atom. The value obtained for the density of states at the Fermi level is 0.000 states/eV/atom.


(7)
Below is a relaxed KSiTe2 crystal, with properties calculated at the PBE level.

abc: 7.9489 7.9489 7.5619
angles: 58.29 58.29 90.00
Sites, in units of the cell vectors:
K 0.0000 0.0000 0.0000
K 0.7500 0.2500 0.5000
Te 0.5313 0.1250 0.2500
Te 0.2187 0.6250 0.2500
Te 0.3750 0.4687 0.7500
Te 0.8750 0.7813 0.7500
Si 0.5000 0.5000 0.0000
Si 0.2500 0.7500 0.5000

Properties
For the spin magnetization, the calculation gives 0.000 μB per formula unit. As for the uncorrected formation energy: -1.20 eV per formula unit. The value obtained for the density of states at the Fermi level is 0.908 states/eV/atom.


(8)
Below is a relaxed NaSiSn crystal, with properties calculated at the PBE level.

abc: 3.7054 5.7365 8.3854
angles: 63.46 77.23 71.17
Sites, in units of the cell vectors:
Na 0.7946 0.5822 0.8935
Na 0.4978 0.9368 0.1321
Si 0.9641 0.6314 0.5052
Si 0.3283 0.8876 0.5204
Sn 0.0925 0.1193 0.7603
Sn 0.1992 0.3998 0.2653

Properties
For the spin magnetization, the calculation gives 0.000 μB per formula unit. As for the uncorrected formation energy: -0.02 eV per formula unit. The value obtained for the density of states at the Fermi level is 0.294 states/eV/atom.